NaLi2MnPCO7 | PBE with a Hubbard U | optimized geometry

```
data_NaLi2MnPCO7
_cell_length_a 5.150
_cell_length_b 6.702
_cell_length_c 8.775
_cell_angle_alpha 95.37
_cell_angle_beta 91.61
_cell_angle_gamma 92.46
_symmetry_space_group_name_H-M 'P 1'
_symmetry_Int_Tables_number 1
_symmetry_space_group_name_Hall 'P 1'
loop_
_atom_site_label
_atom_site_fract_x
_atom_site_fract_y
_atom_site_fract_z
Na1 0.000 0.000 0.000
Na2 0.025 0.218 0.344
Li1 0.059 0.671 0.384
Li2 0.475 0.282 0.876
Li3 0.477 0.823 0.791
Li4 0.541 0.545 0.186
Mn1 0.051 0.491 0.737
Mn2 0.498 0.971 0.439
P1 0.559 0.487 0.513
P2 0.995 0.982 0.669
C1 0.008 0.480 0.057
C2 0.515 0.993 0.131
O1 0.081 0.815 0.770
O2 0.087 0.943 0.502
O3 0.120 0.181 0.750
O4 0.254 0.471 0.029
O5 0.292 0.973 0.192
O6 0.455 0.282 0.437
O7 0.463 0.533 0.679
O8 0.464 0.645 0.405
O9 0.535 0.022 0.986
O10 0.693 0.988 0.662
O11 0.724 0.981 0.216
O12 0.835 0.470 0.944
O13 0.863 0.493 0.519
O14 0.927 0.498 0.196
```

Properties
**Crystal system**: triclinic
**Total moment**: 5.000 μB/f.u.
**Energy above the most stable polymorph in this dataset**: 23 meV per atom